# 1
# ZrAlZn4

A relaxed structure of ZrAlZn4 (PBE, Alexandria via LeMat-Bulk).

Cell lengths 6.772, 6.772, 5.561 Å; angles 90.00, 90.00, 90.00 degrees
Atoms (fractional coordinates):
Zr1 0.250 0.750 0.250
Zr2 0.750 0.250 0.750
Al1 0.250 0.750 0.750
Al2 0.750 0.250 0.250
Zn1 0.077 0.250 0.048
Zn2 0.250 0.077 0.548
Zn3 0.250 0.423 0.548
Zn4 0.423 0.250 0.048
Zn5 0.577 0.750 0.952
Zn6 0.750 0.577 0.452
Zn7 0.750 0.923 0.452
Zn8 0.923 0.750 0.952

Calculated values
The total energy is -2.547 eV/atom. For the calculated volume, the calculation gives 21.25 A^3/atom. Its energy above the most stable polymorph in this dataset is 369 meV per atom. Its energy of formation is 34 kJ per mole of atoms. The total magnetic moment is 0.00 μB/cell.

# 2
# MgOs2SF

A relaxed structure of MgOs2SF (PBE, Alexandria via LeMat-Bulk).

Cell lengths 4.270, 4.270, 4.822 Å; angles 90.00, 90.00, 90.00 degrees
Atoms (fractional coordinates):
Mg1 0.000 0.000 0.000
Os1 0.000 0.500 0.500
Os2 0.500 0.000 0.500
S1 0.500 0.500 0.500
F1 0.500 0.500 0.000

Calculated values
The total energy is -5.641 eV/atom. For the calculated volume, the calculation gives 17.58 A^3/atom. As for the formation energy (no corrections): 1.85 eV per formula unit. The total magnetic moment is 0.00 μB/cell.

# 3
# Sr3Ir

A relaxed structure of Sr3Ir (PBE, Alexandria via LeMat-Bulk).

Cell lengths 6.354, 6.354, 6.354 Å; angles 90.00, 90.00, 90.00 degrees
Atoms (fractional coordinates):
Sr1 0.000 0.250 0.500
Sr2 0.000 0.750 0.500
Sr3 0.250 0.500 0.000
Sr4 0.500 0.000 0.250
Sr5 0.500 0.000 0.750
Sr6 0.750 0.500 0.000
Ir1 0.000 0.000 0.000
Ir2 0.500 0.500 0.500

Calculated values
The total energy is -3.171 eV/atom. For the calculated volume, the calculation gives 32.07 A^3/atom. Its energy of formation is 29 kJ per mole of atoms. The total magnetic moment is 0.00 μB/cell.

# 4
# La4SnAs2S

A relaxed structure of La4SnAs2S (PBE, Alexandria via LeMat-Bulk).

Cell lengths 7.640, 4.363, 7.660 Å; angles 90.00, 109.17, 90.00 degrees
Atoms (fractional coordinates):
La1 0.238 0.000 0.240
La2 0.247 0.500 0.756
La3 0.753 0.500 0.244
La4 0.762 0.000 0.760
Sn1 0.500 0.500 0.500
As1 0.000 0.500 0.000
As2 0.500 0.000 0.000
S1 0.000 0.000 0.500

Calculated values
The total energy is -6.123 eV/atom. For the calculated volume, the calculation gives 30.14 A^3/atom. As for the formation energy (no corrections): -11.84 eV per formula unit. The total magnetic moment is 0.00 μB/cell.